Entry 1:
# CaLaNO | Alexandria via LeMat-Bulk | PBE | relaxed
data_CaLaNO
_chemical_formula_sum 'Ca3 La3 N3 O3'
_space_group_name_H-M_alt 'R 3 m'
_space_group_IT_number 160
_space_group_name_Hall 'R 3 -2"'
_cell_length_a 3.6415
_cell_length_b 3.6415
_cell_length_c 17.5256
_cell_angle_alpha 90.00
_cell_angle_beta 90.00
_cell_angle_gamma 120.00
loop_
_atom_site_label
_atom_site_fract_x
_atom_site_fract_y
_atom_site_fract_z
Ca1 0.0000 0.0000 0.0000
La1 0.0000 0.0000 0.4955
N1 0.0000 0.0000 0.7568
O1 0.0000 0.0000 0.2550
# N(E_F) = 0.0 states/eV per cell
# Crystal system = trigonal
# Total DFT energy (no corrections) = -7.142 eV per atom

***

Entry 2:
# Si2Sn2Br | Alexandria via LeMat-Bulk | PBE | relaxed
data_Si2Sn2Br
_chemical_formula_sum 'Si4 Sn4 Br2'
_space_group_name_H-M_alt 'I 4/m m m'
_space_group_IT_number 139
_space_group_name_Hall '-I 4 2'
_cell_length_a 3.7287
_cell_length_b 3.7287
_cell_length_c 17.7345
_cell_angle_alpha 90.00
_cell_angle_beta 90.00
_cell_angle_gamma 90.00
loop_
_atom_site_label
_atom_site_fract_x
_atom_site_fract_y
_atom_site_fract_z
Si1 0.0000 0.5000 0.2500
Sn1 0.0000 0.0000 0.1227
Br1 0.0000 0.0000 0.5000
# N(E_F) = 1.8 states/eV per cell
# Crystal system = tetragonal
# Total DFT energy (no corrections) = -4.057 eV per atom

***

Entry 3:
# Pr4Sm2TmSc | Alexandria via LeMat-Bulk | PBE | relaxed
data_Pr4Sm2TmSc
_chemical_formula_sum 'Pr4 Sm2 Tm1 Sc1'
_space_group_name_H-M_alt 'P m m m'
_space_group_IT_number 47
_cell_length_a 5.1317
_cell_length_b 5.1554
_cell_length_c 10.0296
_cell_angle_alpha 90.00
_cell_angle_beta 90.00
_cell_angle_gamma 90.00
loop_
_space_group_symop_operation_xyz
'x,y,z'
'-x,-y,-z'
'-x,-y,z'
'x,y,-z'
'x,-y,-z'
'-x,y,z'
'-x,y,-z'
'x,-y,z'
loop_
_atom_site_label
_atom_site_fract_x
_atom_site_fract_y
_atom_site_fract_z
Pr1 0.0000 0.0000 0.2457
Pr2 0.5000 0.5000 0.2466
Sm1 0.0000 0.5000 0.0000
Sm2 0.5000 0.0000 0.5000
Tm1 0.0000 0.5000 0.5000
Sc1 0.5000 0.0000 0.0000
# N(E_F) = 10.8 states/eV per cell
# E_form = 0.03 eV per atom
# Crystal system = orthorhombic
# Total DFT energy (no corrections) = -4.890 eV per atom